## NiMo2Ru (PBEsol)

Data for a relaxed structure of NiMo2Ru.

The structure belongs to space group Cm (No. 8); the cell edges are 8.765, 2.716 and 4.659 Å and the angles 90.00°, 99.54° and 90.00°. The inequivalent atoms are Ni at (0.000, 0.000, 0.000), Mo at (0.007, 0.500, 0.504), Mo at (0.242, 0.500, 0.200) and Ru at (0.259, 0.000, 0.728).

The value obtained for the formation energy is 2.09 kcal/mol of atoms. As for the total energy: -9.876 eV per atom.

---

## MgTl2Cd (PBEsol)

Data for a relaxed structure of MgTl2Cd.

The structure belongs to space group I4/mmm (No. 139); the cell edges are 4.757, 4.757 and 8.664 Å and the angles 90.00°, 90.00° and 90.00°. The inequivalent atoms are Mg at (0.000, 0.000, 0.000), Tl at (0.000, 0.500, 0.250) and Cd at (0.000, 0.000, 0.500).

The value obtained for the formation energy is -0.04 kcal/mol of atoms. As for the total energy: -2.045 eV per atom. Its offset from the most stable computed form is 16 meV/atom.

---

## CrTc2Rh (PBEsol)

Data for a relaxed structure of CrTc2Rh.

The structure belongs to space group Pmm2 (No. 25); the cell edges are 2.657, 3.745 and 5.328 Å and the angles 90.00°, 90.00° and 90.00°. The inequivalent atoms are Cr at (0.000, 0.000, 0.000), Tc at (0.000, 0.000, 0.513), Tc at (0.500, 0.500, 0.760) and Rh at (0.500, 0.500, 0.246).

The value obtained for the formation energy is 1.13 kcal/mol of atoms. As for the total energy: -10.179 eV per atom. Its offset from the most stable computed form is 6 meV/atom.

---

## K2TaB (PBEsol)

Data for a relaxed structure of K2TaB.

The structure belongs to space group I-42d (No. 122); the cell edges are 12.433, 12.433 and 4.188 Å and the angles 90.00°, 90.00° and 90.00°. The inequivalent atoms are K at (0.048, 0.750, 0.125), Ta at (0.000, 0.000, 0.500) and B at (0.000, 0.000, 0.000).

The value obtained for the formation energy is 31.79 kcal/mol of atoms. As for the total energy: -4.080 eV per atom.

---

## TaTi2Al (PBEsol)

Data for a relaxed structure of TaTi2Al.

The structure belongs to space group I-42d (No. 122); the cell edges are 7.197, 7.197 and 5.335 Å and the angles 90.00°, 90.00° and 90.00°. The inequivalent atoms are Ta at (0.000, 0.000, 0.000), Ti at (0.243, 0.750, 0.625) and Al at (0.000, 0.000, 0.500).

The value obtained for the formation energy is 9.05 kcal/mol of atoms. As for the total energy: -7.929 eV per atom.

---

## BePb2W (PBEsol)

Data for a relaxed structure of BePb2W.

The structure belongs to space group C2/m (No. 12); the cell edges are 6.281, 9.357 and 3.119 Å and the angles 90.00°, 119.22° and 90.00°. The inequivalent atoms are Be at (0.000, 0.000, 0.000), Pb at (0.250, 0.250, 0.000) and W at (0.000, 0.500, 0.000).

The value obtained for the formation energy is 26.86 kcal/mol of atoms. As for the total energy: -5.287 eV per atom.